LiZnMo after structural relaxation. Source: the Alexandria database, functional PBE-GGA.

It has space group F-43m (No. 216), with a = 5.8703 Å, b = 5.8703 Å, c = 5.8703 Å, α = 90.00°, β = 90.00° and γ = 90.00°. The asymmetric unit holds Li at (0.0000, 0.0000, 0.0000), Zn at (0.2500, 0.2500, 0.7500) and Mo at (0.0000, 0.0000, 0.5000).

The calculation puts the density of states at the Fermi level at 12.94 states/eV per cell. Its raw total energy is -3.7761 eV per atom. The energy relative to the lowest polymorph listed for this composition is 766 meV per atom. The calculation puts the formation enthalpy at 0 K at 2.69 eV per formula unit. The total magnetization is 1.072 μB per formula unit.